The following is a DFT calculation (PBE) of crystalline Li2Cd4AgHg at its relaxed geometry.

## Properties
symmetry = P4/mmm (123)
magnetic moment = 0.0 μB/f.u.
energy of formation = -0.02 eV per atom

```
Li2Cd4AgHg
1.0
4.1373 0.0000 0.0000
0.0000 4.1373 0.0000
0.0000 0.0000 10.8248
Li Cd Ag Hg
2 4 1 1
direct
0.0000 0.0000 0.1207
0.0000 0.0000 0.8793
0.0000 0.5000 0.3108
0.0000 0.5000 0.6892
0.5000 0.0000 0.3108
0.5000 0.0000 0.6892
0.5000 0.5000 0.5000
0.5000 0.5000 0.0000
```

=====

The following is a DFT calculation (PBE) of crystalline LiCd2Ag4Hg2 at its relaxed geometry.

## Properties
symmetry = C2/m (12)
magnetic moment = 0.0 μB/f.u.
energy of formation = -0.07 eV per atom

```
LiCd2Ag4Hg2
1.0
6.9397 -1.7854 0.0000
6.9397 1.7854 0.0000
-2.6343 0.0000 7.0062
Li Cd Ag Hg
1 2 4 2
direct
0.0000 0.0000 0.0000
0.1155 0.1155 0.6568
0.8845 0.8845 0.3432
0.2149 0.2149 0.3412
0.4514 0.4514 0.6779
0.5486 0.5486 0.3221
0.7851 0.7851 0.6588
0.3456 0.3456 0.9912
0.6544 0.6544 0.0088
```

=====

The following is a DFT calculation (PBE) of crystalline Li2Cd3AgHg3 at its relaxed geometry.

## Properties
symmetry = P-62m (189)
magnetic moment = 0.0 μB/f.u.
energy of formation = -0.11 eV per atom

```
Li2Cd3AgHg3
1.0
8.0898 0.0000 0.0000
-4.0449 7.0060 0.0000
0.0000 0.0000 3.3145
Li Cd Ag Hg
2 3 1 3
direct
0.3333 0.6667 0.0000
0.6667 0.3333 0.0000
0.0000 0.7078 0.0000
0.2922 0.2922 0.0000
0.7078 0.0000 0.0000
0.0000 0.0000 0.5000
0.0000 0.3837 0.5000
0.3837 0.0000 0.5000
0.6163 0.6163 0.5000
```

=====

The following is a DFT calculation (PBE) of crystalline Li2CdAgHg at its relaxed geometry.

## Properties
symmetry = P2_1/m (11)
magnetic moment = 0.0 μB/f.u.
energy of formation = -0.25 eV per atom

```
Li2CdAgHg
1.0
5.0854 0.0000 0.0000
0.0000 4.8505 0.0000
-2.2311 0.0000 7.4826
Li Cd Ag Hg
4 2 2 2
direct
0.1215 0.2500 0.1027
0.3188 0.2500 0.5011
0.6812 0.7500 0.4989
0.8785 0.7500 0.8973
0.4839 0.7500 0.1074
0.5161 0.2500 0.8926
0.2766 0.7500 0.7086
0.7234 0.2500 0.2914
0.0909 0.7500 0.3153
0.9091 0.2500 0.6847
```

=====

Question: Which of these has the highest energy of formation?
Answer: Li2Cd4AgHg

=====

Question: Number 3 is which compound?
Answer: Li2Cd3AgHg3

=====

Question: What is the energy of formation in the second record?
Answer: -0.07 eV per atom